[1]
VASP calculation (PBE) on an optimized crystal structure of Pr5ErTh.

abc: 5.9568 8.9218 12.2770
angles: 90.00 90.00 90.00
Last column: nearest neighbours and their distance in Å.
Space group Immm (No. 71)
Unique sites:
1 Pr 0.0000 0.0000 0.0000 x2  2 Er 2.98
2 Pr 0.0000 0.1787 0.5000 x4  1 Er 2.87, 1 Pr 3.19
3 Pr 0.0000 0.5000 0.2515 x4  1 Er 3.05, 1 Th 3.09
4 Er 0.0000 0.5000 0.5000 x2  6 Pr 2.87-3.05
5 Th 0.0000 0.5000 0.0000 x2  6 Pr 3.09-3.38

Output
* crystal system: orthorhombic
* total magnetic moment: 0.00 Bohr magnetons per cell
* final energy: -4.126 eV/atom
* ΔE_f: 6.998 eV/f.u.
* D(E_F): 24.7 states/eV/cell

***

[2]
VASP calculation (PBE) on an optimized crystal structure of Pr3ErTh.

abc: 6.3408 5.9345 9.7383
angles: 90.00 108.95 90.00
Last column: nearest neighbours and their distance in Å.
Space group P2_1/m (No. 11)
Unique sites:
1 Pr 0.1478 0.2500 0.0958 x2  4 Th 3.51-3.79, 5 Pr 3.56-3.80, 3 Er 3.64-3.69
2 Pr 0.2689 0.7500 0.7116 x2  6 Pr 3.56-3.81, 3 Th 3.58-3.59, 3 Er 3.65-3.80
3 Pr 0.3314 0.2500 0.5084 x2  1 Th 3.61, 4 Er 3.62-3.67, 7 Pr 3.66-3.81
4 Er 0.0712 0.7500 0.2991 x2  10 Pr 3.62-3.80, 2 Th 3.64-3.68
5 Th 0.4760 0.7500 0.1002 x2  8 Pr 3.51-3.79, 2 Th 3.62, 2 Er 3.64-3.68

Output
* crystal system: monoclinic
* total magnetic moment: 0.00 Bohr magnetons per cell
* final energy: -5.204 eV/atom
* ΔE_f: 0.302 eV/f.u.
* D(E_F): 16.7 states/eV/cell

***

[3]
VASP calculation (PBE) on an optimized crystal structure of Pr8Er2Th3.

abc: 9.9982 11.1600 8.8600
angles: 90.00 112.67 90.00
Last column: nearest neighbours and their distance in Å.
Space group C2/m (No. 12)
Unique sites:
1 Pr 0.0874 0.0000 0.3401 x4  2 Er 3.45-3.69, 5 Pr 3.64-3.86, 3 Th 3.81-3.84
2 Pr 0.1031 0.5000 0.2160 x4  1 Th 3.06, 2 Er 3.30-3.40
3 Pr 0.1615 0.2437 0.6828 x8  3 Th 3.38-3.74, 3 Pr 3.48-3.64, 1 Er 3.62
4 Er 0.2350 0.0000 0.0461 x4  6 Pr 3.30-3.69, 2 Th 3.45
5 Th 0.0000 0.2360 0.0000 x4  2 Er 3.45, 8 Pr 3.45-3.84
6 Th 0.0000 0.5000 0.5000 x2  6 Pr 3.06-3.38

Output
* crystal system: monoclinic
* total magnetic moment: 0.00 Bohr magnetons per cell
* final energy: -5.124 eV/atom
* ΔE_f: 3.012 eV/f.u.
* D(E_F): 41.1 states/eV/cell